Entry 1:
Entry from Alexandria via LeMat-Bulk: a geometry-optimized CuBiSe2I structure (PBE).

Geometry as POSCAR:
```
CuBiSe2I
1.0
7.4208 0.0000 0.0000
0.0000 4.4974 0.0000
-3.2272 0.0000 10.0071
Cu Bi Se I
2 2 4 2
Cartesian
0.4967 1.1244 1.4524 Cu
3.6969 3.3731 8.5547 Cu
-1.0240 1.1244 6.8122 Bi
5.2176 3.3731 3.1949 Bi
-0.3045 3.3731 1.0497 Se
-0.4544 1.1244 3.7598 Se
4.6480 3.3731 6.2473 Se
4.4981 1.1244 8.9574 Se
0.9315 3.3731 8.0971 I
3.2621 1.1244 1.9100 I
```

Values from the calculation:
- Fermi-level density of states: 0.9 states/eV/cell
- Formation energy without anion corrections: -0.243 eV per atom
- Spin magnetization: 0.00 μB per cell

Entry 2:
Entry from Alexandria via LeMat-Bulk: a geometry-optimized CuSnBi2I structure (PBE).

Geometry as POSCAR:
```
CuSnBi2I
1.0
6.1296 0.0000 0.0000
0.0000 6.1296 0.0000
0.0000 0.0000 4.8111
Cu Sn Bi I
1 1 2 1
Cartesian
0.0000 0.0000 0.0000 Cu
3.0648 3.0648 0.0000 Sn
0.0000 3.0648 2.4056 Bi
3.0648 0.0000 2.4056 Bi
0.0000 0.0000 2.4056 I
```

Values from the calculation:
- Fermi-level density of states: 5.0 states/eV/cell
- Formation energy without anion corrections: 0.832 eV per atom
- Spin magnetization: 0.00 μB per cell

Entry 3:
Entry from Alexandria via LeMat-Bulk: a geometry-optimized CuBiTe2I structure (PBE).

Geometry as POSCAR:
```
CuBiTe2I
1.0
5.2446 0.0000 0.0000
0.0000 5.2446 0.0000
0.0000 0.0000 5.1675
Cu Bi Te I
1 1 2 1
Cartesian
0.0000 0.0000 0.0000 Cu
2.6223 2.6223 2.5838 Bi
0.0000 2.6223 0.0000 Te
2.6223 0.0000 0.0000 Te
0.0000 0.0000 2.5838 I
```

Values from the calculation:
- Fermi-level density of states: 3.6 states/eV/cell
- Formation energy without anion corrections: 0.260 eV per atom
- Spin magnetization: 0.00 μB per cell
- E above lowest polymorph: 0 meV/atom